A relaxed structure of TaPtN2. Source: Alexandria via LeMat-Bulk, functional GGA-PBE.

a = 4.775 Å, b = 4.775 Å, c = 5.922 Å
α = 66.23°, β = 66.23°, γ = 90.00°
Element x y z (fractional)
Ta 0.500 0.500 0.000
Ta 0.250 0.750 0.500
Pt 0.750 0.250 0.500
Pt 0.000 0.000 0.000
N 0.165 0.625 0.250
N 0.875 0.835 0.750
N 0.375 0.415 0.750
N 0.585 0.125 0.250

Formation energy without anion corrections in eV per atom: -0.127
Crystal system: tetragonal
DOS(E_F) in states/eV/cell: 5.78

***

A relaxed structure of Ta7Pt2N2. Source: Alexandria via LeMat-Bulk, functional GGA-PBE.

a = 5.873 Å, b = 5.520 Å, c = 5.873 Å
α = 85.53°, β = 111.31°, γ = 94.47°
Element x y z (fractional)
Ta 0.562 0.788 0.438
Ta 0.000 0.000 0.000
Ta 0.495 0.238 0.071
Ta 0.438 0.212 0.562
Ta 0.505 0.762 0.929
Ta 0.071 0.762 0.495
Ta 0.929 0.238 0.505
Pt 0.190 0.500 0.190
Pt 0.810 0.500 0.810
N 0.774 0.961 0.226
N 0.226 0.039 0.774

Formation energy without anion corrections in eV per atom: -0.384
Crystal system: monoclinic
DOS(E_F) in states/eV/cell: 8.41

***

A relaxed structure of TaTi2PtN. Source: Alexandria via LeMat-Bulk, functional GGA-PBE.

a = 4.104 Å, b = 4.104 Å, c = 4.220 Å
α = 90.00°, β = 90.00°, γ = 90.00°
Each line ends with the local moment (μB).
Element x y z (fractional)
N 0.000 0.000 0.000  -0.01
Ta 0.000 0.000 0.500  0.13
Pt 0.500 0.500 0.500  0.02
Ti 0.500 0.000 0.000  0.24
Ti 0.000 0.500 0.000  0.24

Formation energy without anion corrections in eV per atom: -1.043
Crystal system: tetragonal
DOS(E_F) in states/eV/cell: 5.04

***

A relaxed structure of Ta2PtWN. Source: Alexandria via LeMat-Bulk, functional GGA-PBE.

a = 4.239 Å, b = 4.239 Å, c = 4.090 Å
α = 90.00°, β = 90.00°, γ = 90.00°
Element x y z (fractional)
W 0.000 0.000 0.500
Pt 0.500 0.500 0.500
N 0.000 0.000 0.000
Ta 0.500 0.000 0.000
Ta 0.000 0.500 0.000

Formation energy without anion corrections in eV per atom: -0.510
Crystal system: tetragonal
DOS(E_F) in states/eV/cell: 4.18

***

A relaxed structure of Zr2TaPtN. Source: Alexandria via LeMat-Bulk, functional GGA-PBE.

a = 4.501 Å, b = 4.501 Å, c = 4.119 Å
α = 90.00°, β = 90.00°, γ = 90.00°
Element x y z (fractional)
Ta 0.000 0.000 0.500
Zr 0.000 0.500 0.000
Zr 0.500 0.000 0.000
Pt 0.500 0.500 0.500
N 0.000 0.000 0.000

Formation energy without anion corrections in eV per atom: -0.964
Crystal system: tetragonal
DOS(E_F) in states/eV/cell: 1.80

***

A relaxed structure of Tb6Pt2N. Source: Alexandria via LeMat-Bulk, functional GGA-PBE.

a = 6.510 Å, b = 7.055 Å, c = 9.570 Å
α = 90.00°, β = 88.66°, γ = 90.00°
Element x y z (fractional)
Tb 0.193 0.322 0.944
Tb 0.177 0.305 0.557
Tb 0.677 0.195 0.057
Tb 0.615 0.468 0.759
Tb 0.885 0.968 0.741
Tb 0.807 0.678 0.056
Tb 0.693 0.178 0.444
Tb 0.823 0.695 0.443
Tb 0.307 0.822 0.556
Tb 0.323 0.805 0.943
Tb 0.385 0.532 0.241
Tb 0.115 0.032 0.259
Pt 0.958 0.406 0.247
Pt 0.542 0.906 0.253
Pt 0.042 0.594 0.753
Pt 0.458 0.094 0.747
N 0.000 0.000 0.500
N 0.500 0.500 0.000

Formation energy without anion corrections in eV per atom: -0.979
Crystal system: monoclinic
DOS(E_F) in states/eV/cell: 17.07

***

A relaxed structure of TbPtN. Source: Alexandria via LeMat-Bulk, functional GGA-PBE.

a = 4.886 Å, b = 4.886 Å, c = 8.139 Å
α = 90.00°, β = 90.00°, γ = 90.00°
Element x y z (fractional)
N 0.250 0.250 0.500
N 0.250 0.250 0.000
N 0.750 0.750 0.500
N 0.750 0.750 0.000
Pt 0.750 0.750 0.750
Pt 0.250 0.250 0.250
Pt 0.750 0.750 0.250
Pt 0.250 0.250 0.750
Tb 0.250 0.750 0.500
Tb 0.750 0.250 0.000
Tb 0.250 0.750 0.000
Tb 0.750 0.250 0.500

Formation energy without anion corrections in eV per atom: -0.987
Crystal system: tetragonal
DOS(E_F) in states/eV/cell: 5.74

***

A relaxed structure of Tb2PtN. Source: Alexandria via LeMat-Bulk, functional GGA-PBE.

a = 3.353 Å, b = 3.353 Å, c = 8.413 Å
α = 78.51°, β = 78.51°, γ = 60.00°
Element x y z (fractional)
Tb 0.890 0.890 0.330
Tb 0.110 0.110 0.670
N 0.500 0.500 0.500
Pt 0.000 0.000 0.000

Formation energy without anion corrections in eV per atom: -0.727
Crystal system: trigonal
DOS(E_F) in states/eV/cell: 1.32